A relaxed Sc2GaReNi crystal. Source: Alexandria via LeMat-Bulk, functional PBEsol. Values from VASP.

Computed properties:
For the formation energy, the calculation gives 0.38 eV per atom. As for the density of states at the Fermi level: 1.1055 states/eV per atom.

Structure (Quantum ESPRESSO input):
```
&SYSTEM
  ibrav = 0, nat = 5, ntyp = 4
/
ATOMIC_SPECIES
Sc 44.96 Sc.upf
Ga 69.72 Ga.upf
Re 186.21 Re.upf
Ni 58.69 Ni.upf
CELL_PARAMETERS angstrom
4.695 0.000 0.000
0.000 4.695 0.000
0.000 0.000 4.401
ATOMIC_POSITIONS crystal
Sc 0.000 0.500 0.000
Sc 0.500 0.000 0.000
Ga 0.000 0.000 0.500
Re 0.500 0.500 0.500
Ni 0.500 0.500 0.000
```